A relaxed La2SiSe crystal, computed with PBE.

a b c (Å): 5.1764 5.1764 5.1764
angles (deg): 60.00 60.00 60.00
Closest atoms and distances in Å follow each position.
Atoms (fractional coordinates):
1 Se 0.5000 0.5000 0.5000  4 Si 3.17, 4 La 3.17
2 La 0.2500 0.2500 0.2500  4 Se 3.17, 4 La 3.17
3 Si 0.7500 0.7500 0.7500  4 Se 3.17, 4 La 3.17
4 La 0.0000 0.0000 0.0000  4 La 3.17, 4 Si 3.17

Summary:
V: 24.519 A^3/atom
energy relative to the lowest polymorph listed for this composition: 997 meV/atom
crystal system: cubic
SG: F-43m


A relaxed LaSiSe2 crystal, computed with PBE.

a b c (Å): 4.0745 4.0745 6.1917
angles (deg): 90.00 90.00 90.00
Closest atoms and distances in Å follow each position.
Atoms (fractional coordinates):
1 Se 0.0000 0.0000 0.9518  1 Si 2.62
2 Se 0.5000 0.5000 0.3465  4 Si 2.89, 2 La 2.97-3.22
3 Si 0.0000 0.0000 0.3752  5 Se 2.62-2.89
4 La 0.5000 0.5000 0.8265  6 Se 2.97-3.22

Summary:
V: 25.698 A^3/atom
crystal system: tetragonal
E_tot: -5.192 eV/atom
SG: P4mm


A relaxed La3Si5Se12 crystal, computed with PBE.

a b c (Å): 13.9295 13.9295 13.9295
angles (deg): 109.47 109.47 109.47
Closest atoms and distances in Å follow each position.
Atoms (fractional coordinates):
1 Se 0.0889 0.1851 0.2095  1 Si 2.34
2 La 0.1250 0.2500 0.8750  8 Se 3.11-3.18
3 Se 0.2905 0.4111 0.8149  1 Si 2.34
4 Se 0.2095 0.6851 0.0889  1 Si 2.34
5 Si 0.3750 0.1250 0.7500  4 Se 2.34
6 Si 0.2500 0.8750 0.1250  4 Se 2.34
7 Se 0.4038 0.0244 0.3149  1 Si 2.34
8 Si 0.0000 0.0000 0.0000  6 Se 2.67
9 Se 0.9038 0.0889 0.8794  1 Si 2.34
10 Se 0.7905 0.4756 0.3794  1 Si 2.34
11 Si 0.1250 0.3750 0.2500  4 Se 2.34
12 Si 0.0000 0.0000 0.5000  6 Se 2.67
13 Si 0.5000 0.5000 0.5000  6 Se 2.67
14 Si 0.5000 0.5000 0.0000  6 Se 2.67
15 Se 0.0962 0.9111 0.1206  1 Si 2.34
16 Se 0.5962 0.6206 0.4111  1 Si 2.34
17 Si 0.1250 0.7500 0.3750  4 Se 2.34
18 Se 0.3149 0.5244 0.4038  1 Si 2.34
19 Se 0.5244 0.3149 0.9038  1 Si 2.34
20 La 0.3750 0.6250 0.2500  8 Se 3.11-3.18
21 La 0.7500 0.3750 0.1250  8 Se 3.11-3.18
22 Se 0.0962 0.1851 0.4756  1 Si 2.34
23 Se 0.7095 0.5889 0.1851  1 Si 2.34
24 Se 0.4756 0.6851 0.0962  1 Si 2.34
25 La 0.3750 0.7500 0.6250  8 Se 3.11-3.18
26 Si 0.6250 0.8750 0.2500  4 Se 2.34
27 Se 0.6851 0.4756 0.5962  1 Si 2.34
28 Se 0.6206 0.5962 0.9111  1 Si 2.34
29 Se 0.4111 0.2905 0.3149  1 Si 2.34
30 Se 0.1206 0.7095 0.5244  1 Si 2.34
31 Si 0.3750 0.2500 0.1250  4 Se 2.34
32 Se 0.6206 0.0244 0.2095  1 Si 2.34
33 Se 0.3794 0.4038 0.0889  1 Si 2.34
34 Se 0.8794 0.5889 0.9038  1 Si 2.34
35 Se 0.5889 0.8794 0.4038  1 Si 2.34
36 Se 0.3149 0.7905 0.4111  1 Si 2.34
37 La 0.2500 0.1250 0.3750  8 Se 3.11-3.18
38 Se 0.9038 0.8149 0.5244  1 Si 2.34
39 Se 0.1206 0.4111 0.0962  1 Si 2.34
40 La 0.6250 0.2500 0.3750  8 Se 3.11-3.18
41 Se 0.7905 0.3149 0.9111  1 Si 2.34
42 Se 0.8794 0.2905 0.4756  1 Si 2.34
43 Se 0.4038 0.3794 0.5889  1 Si 2.34
44 Se 0.5244 0.2095 0.1206  1 Si 2.34
45 Si 0.8750 0.6250 0.7500  4 Se 2.34
46 La 0.8750 0.7500 0.1250  8 Se 3.11-3.18
47 Se 0.8149 0.9111 0.2905  1 Si 2.34
48 Se 0.6851 0.2095 0.5889  1 Si 2.34
49 Si 0.5000 0.0000 0.5000  6 Se 2.67
50 Se 0.9111 0.0962 0.6206  1 Si 2.34
51 Se 0.9111 0.8149 0.7905  1 Si 2.34
52 La 0.2500 0.6250 0.8750  8 Se 3.11-3.18
53 Se 0.0244 0.6206 0.7095  1 Si 2.34
54 Se 0.5889 0.7095 0.6851  1 Si 2.34
55 Si 0.7500 0.1250 0.8750  4 Se 2.34
56 Se 0.5962 0.9756 0.6851  1 Si 2.34
57 Se 0.0244 0.4038 0.8149  1 Si 2.34
58 Se 0.9756 0.3794 0.2905  1 Si 2.34
59 La 0.1250 0.8750 0.7500  8 Se 3.11-3.18
60 Si 0.7500 0.6250 0.3750  4 Se 2.34
61 Se 0.8149 0.9038 0.0244  1 Si 2.34
62 Se 0.1851 0.0962 0.9756  1 Si 2.34
63 Se 0.2905 0.8794 0.9756  1 Si 2.34
64 La 0.7500 0.8750 0.6250  8 Se 3.11-3.18
65 Se 0.7095 0.1206 0.0244  1 Si 2.34
66 Se 0.0889 0.9038 0.3794  1 Si 2.34
67 Se 0.4111 0.1206 0.5962  1 Si 2.34
68 Se 0.4756 0.7905 0.8794  1 Si 2.34
69 La 0.8750 0.1250 0.2500  8 Se 3.11-3.18
70 Se 0.3794 0.9756 0.7905  1 Si 2.34
71 Se 0.2095 0.5244 0.6206  1 Si 2.34
72 Si 0.8750 0.2500 0.6250  4 Se 2.34
73 Se 0.9756 0.5962 0.1851  1 Si 2.34
74 Si 0.0000 0.5000 0.5000  6 Se 2.67
75 Si 0.2500 0.3750 0.6250  4 Se 2.34
76 Si 0.5000 0.0000 0.0000  6 Se 2.67
77 Si 0.6250 0.7500 0.8750  4 Se 2.34
78 Se 0.1851 0.0889 0.7095  1 Si 2.34
79 Si 0.0000 0.5000 0.0000  6 Se 2.67
80 La 0.6250 0.3750 0.7500  8 Se 3.11-3.18

Summary:
V: 26.007 A^3/atom
crystal system: cubic
E_tot: -5.059 eV/atom
SG: Ia-3d


A relaxed LaSiSe2 crystal, computed with PBE.

a b c (Å): 5.3861 5.3861 5.3861
angles (deg): 136.19 118.43 78.60
Closest atoms and distances in Å follow each position.
Atoms (fractional coordinates):
1 Si 0.7500 0.2500 0.5000  4 Se 2.64
2 Se 0.5455 0.5455 0.0000  2 Si 2.64
3 Se 0.9545 0.9545 0.0000  2 Si 2.64
4 La 0.2500 0.7500 0.5000  8 Se 3.18-3.24, 4 Si 3.41

Summary:
V: 23.089 A^3/atom
crystal system: orthorhombic
E_tot: -5.250 eV/atom
SG: Immm


A relaxed LaSiSe crystal, computed with PBE.

a b c (Å): 4.8592 4.8592 4.8592
angles (deg): 60.00 60.00 60.00
Closest atoms and distances in Å follow each position.
Atoms (fractional coordinates):
1 Si 0.0000 0.0000 0.0000  4 Se 2.98
2 Se 0.7500 0.7500 0.7500  4 Si 2.98, 4 La 2.98
3 La 0.5000 0.5000 0.5000  4 Se 2.98

Summary:
V: 27.044 A^3/atom
energy relative to the lowest polymorph listed for this composition: 596 meV/atom
crystal system: cubic
SG: F-43m


A relaxed La2SiSe crystal, computed with PBE.

a b c (Å): 9.5613 9.5613 9.5613
angles (deg): 22.46 22.46 22.46
Closest atoms and distances in Å follow each position.
Atoms (fractional coordinates):
1 Si 0.7615 0.7615 0.7615  3 Se 2.77
2 La 0.0107 0.0107 0.0107  3 Si 3.19
3 Se 0.4908 0.4908 0.4908  3 Si 2.77, 3 La 3.09
4 La 0.2370 0.2370 0.2370  3 Se 3.09

Summary:
V: 27.975 A^3/atom
energy relative to the lowest polymorph listed for this composition: 1195 meV/atom
crystal system: trigonal
SG: R3m


A relaxed La2SiSe crystal, computed with PBE.

a b c (Å): 4.3009 4.3009 7.9127
angles (deg): 74.23 74.23 60.00
Closest atoms and distances in Å follow each position.
Atoms (fractional coordinates):
1 La 0.0776 0.0776 0.7671  3 Si 3.03, 3 Se 3.17
2 Si 0.6673 0.6673 0.9980  6 La 3.03
3 La 0.2567 0.2567 0.2298  3 Si 3.03, 3 Se 3.23
4 Se 0.4983 0.4983 0.5051  6 La 3.17-3.23

Summary:
V: 30.089 A^3/atom
energy relative to the lowest polymorph listed for this composition: 114 meV/atom
crystal system: trigonal
SG: R3m


A relaxed La3SiSe crystal, computed with PBE.

a b c (Å): 5.5808 5.5808 5.5808
angles (deg): 90.00 90.00 90.00
Closest atoms and distances in Å follow each position.
Atoms (fractional coordinates):
1 Se 0.0000 0.0000 0.0000  6 La 2.79
2 La 0.0000 0.0000 0.5000  2 Se 2.79
3 La 0.5000 0.0000 0.0000  2 Se 2.79
4 Si 0.5000 0.5000 0.5000  12 La 3.95
5 La 0.0000 0.5000 0.0000  2 Se 2.79

Summary:
V: 34.763 A^3/atom
energy relative to the lowest polymorph listed for this composition: 0 meV/atom
crystal system: cubic
SG: Pm-3m


A relaxed La6SiSe12 crystal, computed with PBE.

a b c (Å): 8.3875 8.3875 8.3875
angles (deg): 98.82 98.82 98.82
Closest atoms and distances in Å follow each position.
Atoms (fractional coordinates):
1 Se 0.4207 0.8196 0.5559  4 La 2.97-3.07
2 Se 0.5793 0.1804 0.4441  4 La 2.97-3.07
3 La 0.3711 0.7083 0.8668  7 Se 2.97-3.11
4 La 0.2917 0.1332 0.6289  7 Se 2.97-3.11
5 La 0.7083 0.8668 0.3711  7 Se 2.97-3.11
6 Se 0.7003 0.9450 0.0221  1 Si 2.53
7 Se 0.0550 0.9779 0.2997  1 Si 2.53
8 Si 0.0000 0.0000 0.0000  6 Se 2.53
9 Se 0.1804 0.4441 0.5793  4 La 2.97-3.07
10 Se 0.8196 0.5559 0.4207  4 La 2.97-3.07
11 La 0.6289 0.2917 0.1332  7 Se 2.97-3.11
12 Se 0.4441 0.5793 0.1804  4 La 2.97-3.07
13 Se 0.0221 0.7003 0.9450  1 Si 2.53
14 Se 0.9779 0.2997 0.0550  1 Si 2.53
15 La 0.1332 0.6289 0.2917  7 Se 2.97-3.11
16 La 0.8668 0.3711 0.7083  7 Se 2.97-3.11
17 Se 0.9450 0.0221 0.7003  1 Si 2.53
18 Se 0.2997 0.0550 0.9779  1 Si 2.53
19 Se 0.5559 0.4207 0.8196  4 La 2.97-3.07

Summary:
V: 29.825 A^3/atom
crystal system: trigonal
E_tot: -5.589 eV/atom
SG: R-3


A relaxed LaSiSe2 crystal, computed with PBE.

a b c (Å): 4.8750 4.8750 3.8396
angles (deg): 90.07 90.07 89.95
Closest atoms and distances in Å follow each position.
Atoms (fractional coordinates):
1 La 0.0000 0.5000 0.5000  8 Se 3.10, 4 Si 3.45
2 Se 0.0000 0.0000 0.0000  4 Si 3.10, 4 La 3.10, 4 Se 3.45
3 Si 0.5000 0.0000 0.5000  8 Se 3.10, 4 La 3.45
4 Se 0.5000 0.5000 0.0000  4 La 3.10, 4 Si 3.10, 4 Se 3.45

Summary:
V: 22.813 A^3/atom
crystal system: tetragonal
E_tot: -5.165 eV/atom
SG: P4/mmm


A relaxed LaSi2Se crystal, computed with PBE.

a b c (Å): 3.8412 3.8412 6.0002
angles (deg): 90.00 90.00 90.00
Closest atoms and distances in Å follow each position.
Atoms (fractional coordinates):
1 Si 0.5000 0.5000 0.1731  1 Se 2.51
2 La 0.0000 0.0000 0.5236  2 Si 2.85-3.15, 4 Se 3.05
3 Si 0.0000 0.0000 0.0488  4 Si 2.82, 2 La 2.85-3.15
4 Se 0.5000 0.5000 0.7545  1 Si 2.51

Summary:
V: 22.133 A^3/atom
crystal system: tetragonal
E_tot: -5.208 eV/atom
SG: P4mm


A relaxed La2SiSe crystal, computed with PBE.

a b c (Å): 6.1876 6.1876 4.7318
angles (deg): 90.00 90.00 37.64
Closest atoms and distances in Å follow each position.
Atoms (fractional coordinates):
1 La 0.2477 0.2477 0.3749  1 Se 3.05, 4 Si 3.10
2 La 0.9981 0.9981 0.8751  1 Si 2.95, 4 Se 3.10
3 Si 0.7462 0.7462 0.8749  5 La 2.95-3.10
4 Se 0.5081 0.5081 0.3751  5 La 3.05-3.10

Summary:
V: 27.657 A^3/atom
energy relative to the lowest polymorph listed for this composition: 169 meV/atom
crystal system: orthorhombic
SG: Amm2


| no. | M_tot (μB per cell) |
| --- | --- |
| 1 | 0.0 |
| 2 | 0.0 |
| 3 | 0.0 |
| 4 | 0.0 |
| 5 | 0.0 |
| 6 | 0.0 |
| 7 | 0.0 |
| 8 | 0.0 |
| 9 | 0.0 |
| 10 | 0.0 |
| 11 | 0.0 |
| 12 | 0.0 |